# V2AgSnO | Alexandria via LeMat-Bulk | PBE+U | relaxed
# * size of the total moment: 1.0112 μB per atom
# * SG: P4/mmm (123)
# * electronic total energy: -3.87 eV/atom
# * density of states at the Fermi level: 0.60 states/eV/atom
data_V2AgSnO
_cell_length_a 5.353
_cell_length_b 5.074
_cell_length_c 5.353
_cell_angle_alpha 90.00
_cell_angle_beta 90.00
_cell_angle_gamma 90.00
_space_group_name_H-M_alt 'P 1'
_space_group_IT_number 1
loop_
_space_group_symop_operation_xyz
'x,y,z'
loop_
_atom_site_label
_atom_site_type_symbol
_atom_site_fract_x
_atom_site_fract_y
_atom_site_fract_z
Sn1 Sn 0.000 0.000 0.000
V1 V 0.500 0.000 0.000
V2 V 0.000 0.000 0.500
Ag1 Ag 0.000 0.500 0.000
O1 O 0.500 0.500 0.500